Record 1
{
  "formula": "Ti2NbMo6W2",
  "functional": "PBE-GGA",
  "state": "relaxed",
  "lattice": [[-0.106, -3.680, 4.082], [4.674, -2.314, 1.737], [2.377, 3.395, 6.824]],
  "species": ["W", "Ti", "W", "Mo", "Mo", "Ti", "Mo", "Mo", "Mo", "Nb", "Mo"],
  "fractional_positions": [[0.556, 0.556, 0.331], [0.672, 0.672, 0.985], [0.444, 0.444, 0.669], [0.059, 0.059, 0.322], [0.439, 0.941, 0.678], [0.328, 0.328, 0.015], [0.561, 0.059, 0.322], [0.941, 0.439, 0.678], [0.059, 0.561, 0.322], [0.000, 0.000, 0.000], [0.941, 0.941, 0.678]],
  "e_tot_ev_per_cell": -110.2,
  "e_form_ev_per_atom": 0.5949,
  "sg": "R-3m, No. 166"
}


Record 2
{
  "formula": "Ti4Nb2Mo2W",
  "functional": "PBE-GGA",
  "state": "relaxed",
  "lattice": [[5.189, 0.208, -0.271], [-0.692, 6.604, 1.768], [-2.481, -2.151, 4.135]],
  "species": ["Ti", "Ti", "Mo", "W", "Nb", "Mo", "Nb", "Ti", "Ti"],
  "fractional_positions": [[0.336, 0.314, 0.000], [0.199, 0.384, 0.453], [0.760, 0.308, 0.875], [0.000, 0.000, 0.000], [0.292, 0.931, 0.636], [0.240, 0.692, 0.125], [0.708, 0.069, 0.364], [0.664, 0.686, 0.000], [0.801, 0.616, 0.547]],
  "e_tot_ev_per_cell": -85.1,
  "e_form_ev_per_atom": 0.1347,
  "sg": "P-1, No. 2"
}